# 1
Here is an optimized crystal structure of AcCuRh from Alexandria. Energies are from PBE.

a b c (Å): 4.3678 4.3678 4.1605
angles (deg): 90.00 90.00 120.00
With the nearest neighbours (Å) after each atom.
Space group P-6m2 (No. 187)
Unique sites:
Ac  0.0000  0.0000  0.0000 x1  6 Rh 3.27, 6 Cu 3.27
Cu  0.3333  0.6667  0.5000 x1  3 Rh 2.52
Rh  0.6667  0.3333  0.5000 x1  3 Cu 2.52

**Offset from the most stable computed form**: 0.043 eV/f.u.
**Magnetization**: 0.00 μB per atom
**E_form**: -0.42 eV per atom

=====

# 2
Here is an optimized crystal structure of AcCu2Rh2 from Alexandria. Energies are from PBE.

a b c (Å): 4.2202 4.2202 21.0930
angles (deg): 90.00 90.00 90.00
With the nearest neighbours (Å) after each atom.
Space group I4/mmm (No. 139)
Unique sites:
Ac  0.0000  0.0000  0.1275 x4  8 Cu 3.21-3.42, 8 Rh 3.25-3.34
Cu  0.0000  0.0000  0.3161 x4  5 Rh 2.47-2.53
Cu  0.0000  0.5000  0.0000 x4  4 Rh 2.54
Rh  0.0000  0.0000  0.4331 x4  5 Cu 2.47-2.54
Rh  0.0000  0.5000  0.2500 x4  4 Cu 2.53

**Magnetization**: 0.00 μB per atom
**E_form**: -0.23 eV per atom

=====

Question: Which value of E_form does entry 1 give?
Answer: -0.42 eV per atom

=====

Question: Look up the E_form of the second one.
Answer: -0.23 eV per atom